Entry 1:
CoBiSe: optimized geometry, GGA-PBE.

extended XYZ file:
```
12
Lattice="0.0000 6.2103 3.7189 5.3731 0.0000 3.7189 5.3731 6.2103 0.0000" Properties=species:S:1:pos:R:3 pbc="T T T"
Co 2.9081 0.2579 1.8595
Co 5.5946 2.8473 3.7189
Co 2.4651 5.9525 1.8595
Co 5.1516 9.5734 3.7189
Bi 6.5191 7.2352 3.6778
Bi 4.2271 5.1855 3.6778
Bi 9.2056 8.2906 5.5372
Bi 6.9137 10.3404 5.5372
Se 4.1347 2.2606 1.8965
Se 9.2980 5.3658 3.7560
Se 1.2384 3.9497 1.8965
Se 1.4482 7.0549 3.7560
```

The total magnetization comes out at 0.0 μB per cell. Its uncorrected formation energy is -0.154 eV per formula unit.

---

Entry 2:
Np2GeIr2: optimized geometry, GGA-PBE.

extended XYZ file:
```
10
Lattice="4.8480 -2.6905 0.0000 4.8480 2.6905 0.0000 -1.9450 0.0000 7.6080" Properties=species:S:1:pos:R:3 pbc="T T T"
Np 1.7702 1.8648 6.4527
Np 5.0084 1.8648 4.9593
Np 2.7427 -1.8648 2.6487
Np 5.9809 -1.8648 1.1553
Ge 4.3618 0.9523 1.9020
Ge 3.3893 -0.9523 5.7060
Ir 2.5789 0.6812 3.8654
Ir 3.5514 -0.6812 0.0614
Ir 4.1997 0.6812 7.5466
Ir 5.1722 -0.6812 3.7426
```

The total magnetization comes out at 15.0 μB per cell. The value obtained for the total DFT energy (no corrections) is -10.017 eV/atom.

---

Entry 3:
SrBi2TeSe: optimized geometry, GGA-PBE.

extended XYZ file:
```
5
Lattice="6.2892 0.0000 0.0000 0.0000 6.2892 0.0000 0.0000 0.0000 5.4038" Properties=species:S:1:pos:R:3 pbc="T T T"
Sr 0.0000 0.0000 0.0000
Bi 0.0000 3.1446 0.0000
Bi 3.1446 0.0000 0.0000
Te 3.1446 3.1446 2.7019
Se 0.0000 0.0000 2.7019
```

The total magnetization comes out at 0.0 μB per cell. Its uncorrected formation energy is 2.572 eV per formula unit.

---

Entry 4:
MnSb2TeRh: optimized geometry, GGA-PBE.

extended XYZ file:
```
5
Lattice="5.0276 0.0000 0.0000 0.0000 5.0276 0.0000 0.0000 0.0000 5.3436" Properties=species:S:1:pos:R:3 pbc="T T T"
Mn 0.0000 0.0000 0.0000
Sb 0.0000 2.5138 2.6718
Sb 2.5138 0.0000 2.6718
Te 2.5138 2.5138 0.0000
Rh 2.5138 2.5138 2.6718
```

The total magnetization comes out at 0.4 μB per cell. Its uncorrected formation energy is 5.141 eV per formula unit. The energy above the most stable polymorph in this dataset is 353 meV per atom.

---

Entry 5:
RbSrYGe2: optimized geometry, GGA-PBE.

extended XYZ file:
```
5
Lattice="5.7207 0.0000 0.0000 0.0000 5.7207 0.0000 0.0000 0.0000 5.5064" Properties=species:S:1:pos:R:3 pbc="T T T"
Rb 0.0000 0.0000 0.0000
Sr 0.0000 0.0000 2.7532
Y 2.8603 2.8603 2.7532
Ge 0.0000 2.8603 0.0000
Ge 2.8603 0.0000 0.0000
```

The total magnetization comes out at 0.6 μB per cell. The value obtained for the total DFT energy (no corrections) is -2.618 eV/atom.

---

Entry 6:
CaF: optimized geometry, GGA-PBE.

extended XYZ file:
```
4
Lattice="3.9401 0.0000 0.0000 0.0000 3.9401 0.0000 0.0000 0.0000 5.6916" Properties=species:S:1:pos:R:3 pbc="T T T"
Ca 0.9850 0.9850 1.2951
Ca 2.9551 2.9551 4.3965
F 0.9850 2.9551 0.0000
F 2.9551 0.9850 0.0000
```

The total magnetization comes out at 0.0 μB per cell. Its uncorrected formation energy is -5.815 eV per formula unit. The energy above the most stable polymorph in this dataset is 0 meV per atom.

---

Entry 7:
Pu7SbI12: optimized geometry, GGA-PBE.

extended XYZ file:
```
20
Lattice="8.0793 4.6646 3.6411 -8.0793 4.6646 3.6411 0.0000 -9.3292 3.6411" Properties=species:S:1:pos:R:3 pbc="T T T"
Pu 0.0000 0.0000 0.0000
Pu -1.8411 -1.7558 3.6773
Pu -0.6000 2.4724 3.6773
Pu 2.4411 -0.7166 3.6773
Pu -2.4411 0.7166 7.2461
Pu 0.6000 -2.4724 7.2461
Pu 1.8411 1.7558 7.2461
Sb 0.0000 0.0000 5.4617
I -2.4974 0.7321 1.8033
I 0.6147 -2.5288 1.8033
I -4.3694 -1.0933 5.4519
I -1.2378 -4.3306 5.4715
I 1.8827 1.7968 1.8033
I -3.1315 3.2373 5.4715
I 3.1315 -3.2373 5.4519
I -1.8827 -1.7968 9.1201
I 1.2378 4.3306 5.4519
I 4.3693 1.0933 5.4715
I -0.6147 2.5288 9.1201
I 2.4974 -0.7321 9.1201
```

The total magnetization comes out at 41.0 μB per cell. Its uncorrected formation energy is -20.249 eV per formula unit.

---

Entry 8:
Sc4Tl3: optimized geometry, GGA-PBE.

extended XYZ file:
```
7
Lattice="-1.9292 1.9292 11.4165 1.9292 -1.9292 11.4165 1.9292 1.9292 -11.4165" Properties=species:S:1:pos:R:3 pbc="T T T"
Sc 0.0000 0.0000 1.6419
Sc 0.0000 0.0000 8.1033
Sc 0.0000 0.0000 14.7298
Sc 0.0000 0.0000 21.1912
Tl 0.0000 0.0000 4.8263
Tl 0.0000 0.0000 11.4165
Tl 0.0000 0.0000 18.0067
```

The total magnetization comes out at 1.8 μB per cell. The energy above the most stable polymorph in this dataset is 159 meV per atom.